This record from Alexandria describes a relaxed structure of ThPtI. The functional is PBE-GGA.

Results
Formation energy (no corrections): -0.921 eV per atom
Theoretical density: 10.000 Mg/m³

Cell and atoms, written as CIF:
```
data_ThPtI
_chemical_formula_sum 'Th4 Pt4 I4'
_symmetry_space_group_name_H-M 'P 1'
_symmetry_Int_Tables_number 1
_cell_length_a 7.992
_cell_length_b 7.746
_cell_length_c 7.992
_cell_angle_alpha 74.77
_cell_angle_beta 60.61
_cell_angle_gamma 105.23
loop_
_symmetry_equiv_pos_as_xyz
'x,y,z'
loop_
_atom_site_label
_atom_site_type_symbol
_atom_site_fract_x
_atom_site_fract_y
_atom_site_fract_z
_atom_site_occupancy
Pt1 Pt 0.154 0.781 0.856 1
Pt2 Pt 0.394 0.281 0.096 1
Pt3 Pt 0.363 0.219 0.627 1
Pt4 Pt 0.623 0.719 0.887 1
I1 I 0.291 0.712 0.398 1
I2 I 0.829 0.788 0.360 1
I3 I 0.852 0.212 0.959 1
I4 I 0.890 0.288 0.421 1
Th1 Th 0.692 0.492 0.176 1
Th2 Th 0.074 0.992 0.558 1
Th3 Th 0.450 0.008 0.918 1
Th4 Th 0.332 0.508 0.800 1
```